Density functional theory data (GGA+U) for a relaxed structure of NiRhI2O.

Cell: 5.6079 5.6079 3.7394 Å, 90.00 90.00 90.00°
Closest atoms and distances in Å follow each position.
Atoms (fractional coordinates):
Ni 0.5000 0.5000 0.5000  8 I 3.37, 2 Ni 3.74
O 0.0000 0.0000 0.5000  2 Rh 1.87
I 0.5000 0.0000 0.0000  2 Rh 2.80
Rh 0.0000 0.0000 0.0000  2 O 1.87
I 0.0000 0.5000 0.0000  2 Rh 2.80

Output
VASP energy: -17.184 eV per cell
ΔE to the lowest computed polymorph: 0.00 eV/f.u.